The following is a PBE+U calculation of a geometry-optimized ZrVF6 structure, from the Alexandria database.

POSCAR file:
```
ZrVF6
1.0
5.8678 -0.0224 -0.0107
2.9603 5.0663 -0.0107
2.9593 1.6908 4.7787
V F Zr
1 6 1
Direct
0.0000 0.0000 0.0000
0.2536 0.7458 0.7461
0.7464 0.2542 0.2539
0.2542 0.7464 0.2539
0.2538 0.2538 0.7461
0.7458 0.2536 0.7461
0.7462 0.7462 0.2539
0.5000 0.5000 0.5000
```

Results
- E (eV per atom) = -6.75
- D(E_F) (states/eV/atom) = 0.000
- spin magnetization (μB/f.u.) = 3.00